The following is a DFT calculation (PBE-GGA) of Na2Hg2As after structural relaxation.

Cell and atoms, written as extended XYZ:
```
10
Lattice="7.362 0.000 0.000 0.000 7.362 0.000 0.000 0.000 4.800" Properties=species:S:1:pos:R:3 pbc="T T T"
Na 1.289 2.392 0.000
Na 2.392 6.073 0.000
Na 4.970 1.289 0.000
Na 6.073 4.970 0.000
Hg 1.021 4.702 2.400
Hg 2.660 1.021 2.400
Hg 4.702 6.340 2.400
Hg 6.340 2.660 2.400
As 0.000 0.000 2.400
As 3.681 3.681 2.400
```

Computed properties:
Mass density ... 6.67 Mg/m³
Space group ... P4/mbm, No. 127
Final energy ... -1.743 eV per atom
Formation enthalpy at 0 K ... -3.8 kcal/mol of atoms

The following is a DFT calculation (PBE-GGA) of Na2HgAs after structural relaxation.

Cell and atoms, written as extended XYZ:
```
4
Lattice="5.285 0.000 0.000 0.000 5.285 0.000 0.000 0.000 3.340" Properties=species:S:1:pos:R:3 pbc="T T T"
Na 0.000 2.642 0.000
Na 2.642 0.000 0.000
Hg 0.000 0.000 1.670
As 2.642 2.642 1.670
```

Computed properties:
Mass density ... 5.72 Mg/m³
Space group ... P4/mmm, No. 123
Final energy ... -2.115 eV per atom
Formation enthalpy at 0 K ... -5.0 kcal/mol of atoms

The following is a DFT calculation (PBE-GGA) of Na2HgAs after structural relaxation.

Cell and atoms, written as extended XYZ:
```
8
Lattice="-2.248 2.248 10.084 2.248 -2.248 10.084 2.248 2.248 -10.084" Properties=species:S:1:pos:R:3 pbc="T T T"
Na 3.372 1.035 -2.521
Na 1.035 1.124 2.521
Na -1.124 1.213 7.563
Na 1.213 1.124 12.605
Hg 2.248 0.000 5.042
Hg 0.000 0.000 10.084
As 0.000 0.000 0.000
As 0.000 2.248 5.042
```

Computed properties:
Mass density ... 5.24 Mg/m³
Space group ... I-42d, No. 122
Final energy ... -1.924 eV per atom
Formation enthalpy at 0 K ... -0.6 kcal/mol of atoms

The following is a DFT calculation (PBE-GGA) of Na2Hg2As after structural relaxation.

Cell and atoms, written as extended XYZ:
```
10
Lattice="6.492 -2.257 0.000 6.492 2.257 0.000 -3.371 0.000 8.813" Properties=species:S:1:pos:R:3 pbc="T T T"
Na 0.448 0.000 3.572
Na 2.008 0.000 0.091
Na 7.605 0.000 8.721
Na 9.165 0.000 5.240
Hg 4.005 0.000 3.133
Hg 3.172 0.000 7.354
Hg 6.440 0.000 1.458
Hg 5.607 0.000 5.679
As 0.501 0.000 6.518
As 9.112 0.000 2.295
```

Computed properties:
Mass density ... 6.71 Mg/m³
Space group ... C2/m, No. 12
Final energy ... -1.828 eV per atom
Formation enthalpy at 0 K ... -5.8 kcal/mol of atoms

The following is a DFT calculation (PBE-GGA) of Na2HgAs after structural relaxation.

Cell and atoms, written as extended XYZ:
```
4
Lattice="0.000 3.591 3.591 3.591 0.000 3.591 3.591 3.591 0.000" Properties=species:S:1:pos:R:3 pbc="T T T"
Na 1.796 1.796 1.796
Na 5.387 5.387 5.387
Hg 0.000 0.000 0.000
As 3.591 3.591 3.591
```

Computed properties:
Mass density ... 5.76 Mg/m³
Space group ... Fm-3m, No. 225
Final energy ... -2.132 eV per atom
Formation enthalpy at 0 K ... -5.4 kcal/mol of atoms

The following is a DFT calculation (PBE-GGA) of Na8Hg2As after structural relaxation.

Cell and atoms, written as extended XYZ:
```
11
Lattice="9.234 -2.582 0.000 9.234 2.582 0.000 -2.346 0.000 6.718" Properties=species:S:1:pos:R:3 pbc="T T T"
Na -0.361 0.000 1.988
Na 1.994 0.000 5.270
Na 5.128 0.000 3.677
Na 7.250 0.000 0.534
Na 8.872 0.000 6.184
Na 10.995 0.000 3.041
Na 14.128 0.000 1.449
Na 16.483 0.000 4.730
Hg 2.778 0.000 1.345
Hg 13.344 0.000 5.374
As 8.061 0.000 3.359
```

Computed properties:
Mass density ... 3.42 Mg/m³
Space group ... C2/m, No. 12
Final energy ... -1.652 eV per atom
Formation enthalpy at 0 K ... -5.0 kcal/mol of atoms

The following is a DFT calculation (PBE-GGA) of Na3Hg5As2 after structural relaxation.

Cell and atoms, written as extended XYZ:
```
20
Lattice="-6.152 6.279 3.547 6.152 -6.279 3.547 6.152 6.279 -3.547" Properties=species:S:1:pos:R:3 pbc="T T T"
Na 9.032 1.693 0.000
Na 0.000 0.000 1.773
Na 2.879 4.586 0.000
Na 3.273 1.693 3.547
Na 0.000 0.000 5.320
Na -2.879 4.586 3.547
Hg 6.152 -3.049 1.773
Hg 4.216 1.449 0.000
Hg 6.152 0.000 1.773
Hg 4.216 -1.449 3.547
Hg 6.152 3.049 1.773
Hg 0.000 3.230 1.773
Hg 1.937 7.728 0.000
Hg 0.000 6.279 1.773
Hg 1.937 4.830 3.547
Hg 0.000 9.328 1.773
As 1.602 1.825 0.000
As 7.755 4.454 0.000
As -1.602 1.825 3.547
As 4.550 4.454 3.547
```

Computed properties:
Mass density ... 7.40 Mg/m³
Space group ... Ibam, No. 72
Final energy ... -1.619 eV per atom
Formation enthalpy at 0 K ... -3.3 kcal/mol of atoms

The following is a DFT calculation (PBE-GGA) of Na2HgAs after structural relaxation.

Cell and atoms, written as extended XYZ:
```
4
Lattice="3.366 0.000 0.000 0.000 3.366 0.000 0.000 0.000 8.454" Properties=species:S:1:pos:R:3 pbc="T T T"
Na 0.000 0.000 1.870
Na 0.000 0.000 6.585
Hg 1.683 1.683 4.227
As 1.683 1.683 0.000
```

Computed properties:
Mass density ... 5.57 Mg/m³
Space group ... P4/mmm, No. 123
Final energy ... -2.136 eV per atom
Formation enthalpy at 0 K ... -5.5 kcal/mol of atoms

The following is a DFT calculation (PBE-GGA) of Na2HgAs after structural relaxation.

Cell and atoms, written as extended XYZ:
```
4
Lattice="2.189 1.264 7.244 -2.189 1.264 7.244 0.000 -2.527 7.244" Properties=species:S:1:pos:R:3 pbc="T T T"
Na 0.000 0.000 5.050
Na 0.000 0.000 16.682
Hg 0.000 0.000 0.000
As 0.000 0.000 10.866
```

Computed properties:
Mass density ... 4.44 Mg/m³
Space group ... R-3m, No. 166
Final energy ... -1.963 eV per atom
Formation enthalpy at 0 K ... -1.5 kcal/mol of atoms

The following is a DFT calculation (PBE-GGA) of Na3HgAs after structural relaxation.

Cell and atoms, written as extended XYZ:
```
10
Lattice="-4.535 4.061 4.215 4.535 -4.061 4.215 4.535 4.061 -4.215" Properties=species:S:1:pos:R:3 pbc="T T T"
Na 0.545 1.584 0.000
Na 3.989 1.584 0.000
Na 2.267 -0.740 2.647
Na 2.267 4.801 -1.567
Na 0.545 2.477 4.215
Na 3.989 2.477 4.215
Hg 2.267 3.925 1.430
Hg 2.267 0.136 5.645
As 6.802 0.822 -0.192
As -2.267 3.239 4.023
```

Computed properties:
Mass density ... 3.68 Mg/m³
Space group ... Ima2, No. 46
Final energy ... -2.050 eV per atom
Formation enthalpy at 0 K ... -6.2 kcal/mol of atoms

The following is a DFT calculation (PBE-GGA) of Na2HgAs2 after structural relaxation.

Cell and atoms, written as extended XYZ:
```
5
Lattice="-2.784 2.784 4.687 2.784 -2.784 4.687 2.784 2.784 -4.687" Properties=species:S:1:pos:R:3 pbc="T T T"
Na 2.784 0.000 2.344
Na 0.000 2.784 2.344
Hg 0.000 0.000 0.000
As 0.000 0.000 3.535
As 0.000 0.000 5.840
```

Computed properties:
Mass density ... 4.53 Mg/m³
Space group ... I4/mmm, No. 139
Final energy ... -2.571 eV per atom
Formation enthalpy at 0 K ... -2.8 kcal/mol of atoms

The following is a DFT calculation (PBE-GGA) of Na2HgAs after structural relaxation.

Cell and atoms, written as extended XYZ:
```
4
Lattice="2.511 1.450 4.269 -2.511 1.450 4.269 0.000 -2.900 4.269" Properties=species:S:1:pos:R:3 pbc="T T T"
Na 0.000 0.000 0.000
Na 0.000 0.000 3.233
Hg 0.000 0.000 6.444
As 0.000 0.000 9.482
```

Computed properties:
Mass density ... 5.73 Mg/m³
Space group ... R3m, No. 160
Final energy ... -2.096 eV per atom
Formation enthalpy at 0 K ... -4.6 kcal/mol of atoms